# 1
A plane-wave DFT calculation with GGA-PBE was carried out for crystalline Pm3Cd4Ag4 at its relaxed geometry.

```
11
Lattice="-0.5727 -1.0558 -3.2510 -1.8350 -4.1769 1.6884 -15.2681 3.7150 -0.3737" Properties=species:S:1:pos:R:3 pbc="T T T"
Pm -12.2461 -0.1519 0.3571
Pm -5.4299 -1.3659 -2.2933
Pm 0.0000 -0.0001 0.0000
Cd -12.9403 2.0052 -2.0750
Cd -7.8560 0.3795 -0.5903
Cd -9.8199 -1.8973 -1.3460
Cd -4.7356 -3.5230 0.1387
Ag -15.1794 0.5139 -1.1941
Ag -2.4965 -2.0318 -0.7422
Ag -7.3177 -2.3624 0.2124
Ag -10.3583 0.8446 -2.1487
```

Computed properties:
Energy relative to the lowest polymorph listed for this composition ... 0.000 eV per atom
Formation energy from the elements ... -0.26 eV per atom

---

# 2
A plane-wave DFT calculation with GGA-PBE was carried out for crystalline LaCdRu at its relaxed geometry.

```
6
Lattice="-2.2883 -2.2063 3.2965 1.6962 -4.4167 -1.7786 5.5140 3.0686 2.7007" Properties=species:S:1:pos:R:3 pbc="T T T"
Ru 1.6551 -0.6185 3.9158
Ru 3.2668 -2.9359 0.3027
Cd 0.8702 -4.3433 0.8780
Cd 4.0516 0.7889 3.3406
La 3.1370 -2.5880 3.6264
La 1.7848 -0.9664 0.5922
```

Computed properties:
Formation energy from the elements ... -0.24 eV per atom

---

# 3
A plane-wave DFT calculation with GGA-PBE was carried out for crystalline Sr2ZrTeO at its relaxed geometry.

```
5
Lattice="6.4749 0.0000 0.0000 0.0000 4.1936 0.0000 0.0000 0.0000 6.4749" Properties=species:S:1:pos:R:3 pbc="T T T"
Sr 0.0000 0.0000 3.2374
Sr 3.2374 0.0000 0.0000
Te 0.0000 0.0000 0.0000
O 0.0000 2.0968 0.0000
Zr 3.2374 2.0968 3.2374
```

Computed properties:
Formation energy from raw total energies ... 104 meV per atom

---

Sequential DOS(E_F) output: 0.64 0.59 0.80 states/eV per atom
Sequential calculated volume output: 260 144 176 Å³ per cell
Sequential energy output: -2.921 -5.279 -3.899 eV/atom